1:
VASP calculation (PBE-GGA) on an optimized crystal structure of Eu2CuNi.

Lattice parameters (Å, degrees): 3.4535 3.4535 28.9667 90.00 90.00 120.00
Space group R-3m (No. 166, hexagonal axes)
Unique sites:
Eu1 0.0000 0.0000 0.0893
Cu1 0.0000 0.0000 0.5000
Ni1 0.0000 0.0000 0.0000

Output
The calculation puts the density of states at the Fermi level at 1.13 states/eV/atom.



2:
VASP calculation (PBE-GGA) on an optimized crystal structure of Eu2CuNi.

Lattice parameters (Å, degrees): 7.1134 7.1134 7.1134 90.00 90.00 90.00
Space group Fm-3m (No. 225)
Unique sites:
Eu1 0.2500 0.2500 0.2500
Cu1 0.0000 0.0000 0.0000
Ni1 0.0000 0.0000 0.5000

Output
The calculation puts the density of states at the Fermi level at 3.56 states/eV/atom.



2 comes first in stability; the runner-up is 0.637 eV/atom higher.



1:
VASP calculation (PBE-GGA) on an optimized crystal structure of EuCuPb2.

Lattice parameters (Å, degrees): 4.7410 4.7410 4.6410 90.00 90.00 90.00
Space group P4/mmm (No. 123)
Unique sites:
Eu1 0.0000 0.0000 0.0000
Cu1 0.5000 0.5000 0.0000
Pb1 0.0000 0.5000 0.5000

Output
The calculation puts the density of states at the Fermi level at 1.41 states/eV/atom.



2:
VASP calculation (PBE-GGA) on an optimized crystal structure of EuCuPb2.

Lattice parameters (Å, degrees): 3.6702 3.6702 31.1734 90.00 90.00 120.00
Space group R-3m (No. 166, hexagonal axes)
Unique sites:
Eu1 0.0000 0.0000 0.0000
Cu1 0.0000 0.0000 0.5000
Pb1 0.0000 0.0000 0.1070

Output
The calculation puts the density of states at the Fermi level at 0.55 states/eV/atom.



1 comes first in stability; the runner-up is 0.295 eV/atom higher.



1:
VASP calculation (PBE-GGA) on an optimized crystal structure of EuCu4Pd.

Lattice parameters (Å, degrees): 7.1873 7.1873 7.1873 90.00 90.00 90.00
Space group F-43m (No. 216)
Unique sites:
Eu1 0.0000 0.0000 0.0000
Cu1 0.1238 0.1238 0.6238
Pd1 0.2500 0.2500 0.2500

Output
The calculation puts the density of states at the Fermi level at 2.06 states/eV/atom.



2:
VASP calculation (PBE-GGA) on an optimized crystal structure of EuCu4Pd.

Lattice parameters (Å, degrees): 5.1742 5.1742 4.2253 90.00 90.00 120.00
Space group P-6m2 (No. 187)
Unique sites:
Eu1 0.0000 0.0000 0.0000
Cu1 0.5037 0.0073 0.5000
Cu2 0.6667 0.3333 0.0000
Pd1 0.3333 0.6667 0.0000

Output
The calculation puts the density of states at the Fermi level at 2.29 states/eV/atom.



2 comes first in stability; the runner-up is 0.036 eV/atom higher.



1:
VASP calculation (PBE-GGA) on an optimized crystal structure of Pm2EuCu.

Lattice parameters (Å, degrees): 3.9525 3.9525 27.9804 90.00 90.00 120.00
Space group R-3m (No. 166, hexagonal axes)
Unique sites:
Pm1 0.0000 0.0000 0.2287
Eu1 0.0000 0.0000 0.0000
Cu1 0.0000 0.0000 0.5000

Output
The calculation puts the density of states at the Fermi level at 1.35 states/eV/atom.



2:
VASP calculation (PBE-GGA) on an optimized crystal structure of Pm2EuCu.

Lattice parameters (Å, degrees): 3.6477 3.6477 9.0457 90.00 90.00 90.00
Space group P4/mmm (No. 123)
Unique sites:
Pm1 0.0000 0.0000 0.1856
Eu1 0.5000 0.5000 0.5000
Cu1 0.5000 0.5000 0.0000

Output
The calculation puts the density of states at the Fermi level at 1.18 states/eV/atom.



2 comes first in stability; the runner-up is 0.132 eV/atom higher.



1:
VASP calculation (PBE-GGA) on an optimized crystal structure of Pr2EuCu.

Lattice parameters (Å, degrees): 3.7092 3.7092 9.0520 90.00 90.00 90.00
Space group P4/mmm (No. 123)
Unique sites:
Pr1 0.0000 0.0000 0.1872
Eu1 0.5000 0.5000 0.5000
Cu1 0.5000 0.5000 0.0000

Output
The calculation puts the density of states at the Fermi level at 1.29 states/eV/atom.



2:
VASP calculation (PBE-GGA) on an optimized crystal structure of Pr2EuCu.

Lattice parameters (Å, degrees): 3.8014 3.8014 31.2447 90.00 90.00 120.00
Space group R-3m (No. 166, hexagonal axes)
Unique sites:
Pr1 0.0000 0.0000 0.2311
Eu1 0.0000 0.0000 0.0000
Cu1 0.0000 0.0000 0.5000

Output
The calculation puts the density of states at the Fermi level at 1.33 states/eV/atom.



1 comes first in stability; the runner-up is 0.092 eV/atom higher.



1:
VASP calculation (PBE-GGA) on an optimized crystal structure of Sm2EuCu.

Lattice parameters (Å, degrees): 3.6262 3.6262 9.0433 90.00 90.00 90.00
Space group P4/mmm (No. 123)
Unique sites:
Sm1 0.0000 0.0000 0.1851
Eu1 0.5000 0.5000 0.5000
Cu1 0.5000 0.5000 0.0000

Output
The calculation puts the density of states at the Fermi level at 1.16 states/eV/atom.



2:
VASP calculation (PBE-GGA) on an optimized crystal structure of Sm2EuCu.

Lattice parameters (Å, degrees): 3.7450 3.7450 30.8312 90.00 90.00 120.00
Space group R-3m (No. 166, hexagonal axes)
Unique sites:
Sm1 0.0000 0.0000 0.2305
Eu1 0.0000 0.0000 0.0000
Cu1 0.0000 0.0000 0.5000

Output
The calculation puts the density of states at the Fermi level at 1.34 states/eV/atom.



1 comes first in stability; the runner-up is 0.105 eV/atom higher.



1:
VASP calculation (PBE-GGA) on an optimized crystal structure of SmEuCu2.

Lattice parameters (Å, degrees): 3.4522 3.4522 30.1346 90.00 90.00 120.00
Space group R-3m (No. 166, hexagonal axes)
Unique sites:
Sm1 0.0000 0.0000 0.0000
Eu1 0.0000 0.0000 0.5000
Cu1 0.0000 0.0000 0.0926

Output
The calculation puts the density of states at the Fermi level at 1.33 states/eV/atom.



2:
VASP calculation (PBE-GGA) on an optimized crystal structure of SmEuCu2.

Lattice parameters (Å, degrees): 3.5954 3.5954 7.1921 90.00 90.00 90.00
Space group P4/mmm (No. 123)
Unique sites:
Sm1 0.0000 0.0000 0.0000
Eu1 0.0000 0.0000 0.5000
Cu1 0.5000 0.5000 0.2203

Output
The calculation puts the density of states at the Fermi level at 1.48 states/eV/atom.



3:
VASP calculation (PBE-GGA) on an optimized crystal structure of SmEuCu2.

Lattice parameters (Å, degrees): 7.1561 7.1561 7.1561 90.00 90.00 90.00
Space group Fm-3m (No. 225)
Unique sites:
Sm1 0.0000 0.0000 0.0000
Eu1 0.0000 0.0000 0.5000
Cu1 0.2500 0.2500 0.2500

Output
The calculation puts the density of states at the Fermi level at 1.67 states/eV/atom.



2 comes first in stability; the runner-up is 0.025 eV/atom higher.



1:
VASP calculation (PBE-GGA) on an optimized crystal structure of SrEuCu2.

Lattice parameters (Å, degrees): 7.4166 7.4166 7.4166 90.00 90.00 90.00
Space group Fm-3m (No. 225)
Unique sites:
Sr1 0.0000 0.0000 0.0000
Eu1 0.0000 0.0000 0.5000
Cu1 0.2500 0.2500 0.2500

Output
The calculation puts the density of states at the Fermi level at 1.92 states/eV/atom.



2:
VASP calculation (PBE-GGA) on an optimized crystal structure of SrEuCu2.

Lattice parameters (Å, degrees): 3.7243 3.7243 7.3407 90.00 90.00 90.00
Space group P4/mmm (No. 123)
Unique sites:
Sr1 0.0000 0.0000 0.0000
Eu1 0.0000 0.0000 0.5000
Cu1 0.5000 0.5000 0.2787

Output
The calculation puts the density of states at the Fermi level at 0.83 states/eV/atom.



2 comes first in stability; the runner-up is 0.019 eV/atom higher.